Entry 1:
This record from the Open Quantum Materials Database describes Ta6O after structural relaxation. The functional is PBE.

Summary:
**Total energy**: -11.271 eV/atom

```
Ta6O
1.0
5.298 0.000 0.000
-1.048 7.254 0.000
-2.438 -3.424 6.009
Ta O
12 2
direct
0.000 0.000 0.000 Ta
0.000 0.149 0.438 Ta
0.000 0.851 0.562 Ta
0.070 0.589 0.772 Ta
0.283 0.332 0.966 Ta
0.360 0.836 0.277 Ta
0.490 0.694 0.618 Ta
0.500 0.000 0.000 Ta
0.510 0.306 0.382 Ta
0.640 0.164 0.723 Ta
0.717 0.668 0.034 Ta
0.930 0.411 0.228 Ta
0.389 0.402 0.709 O
0.611 0.598 0.291 O
```



Entry 2:
This record from the Open Quantum Materials Database describes Hf2CdIr after structural relaxation. The functional is PBE.

Summary:
**Energy of formation**: -0.128 eV/atom

```
Hf2CdIr
1.0
0.000 3.339 3.339
3.339 0.000 3.339
3.339 3.339 0.000
Hf Cd Ir
2 1 1
direct
0.000 0.000 0.000 Hf
0.250 0.250 0.250 Hf
0.750 0.750 0.750 Cd
0.500 0.500 0.500 Ir
```



Entry 3:
This record from the Open Quantum Materials Database describes Tb2Bi after structural relaxation. The functional is PBE.

Summary:
**Total energy**: -3.229 eV/atom

```
Tb2Bi
1.0
0.000 6.853 6.853
6.853 0.000 6.853
6.853 6.853 0.000
Tb Bi
4 2
direct
0.000 0.000 0.000 Tb
0.000 0.000 0.500 Tb
0.000 0.500 0.000 Tb
0.500 0.000 0.000 Tb
0.125 0.125 0.125 Bi
0.875 0.875 0.875 Bi
```



Entry 4:
This record from the Open Quantum Materials Database describes NaSrIn4Au2 after structural relaxation. The functional is PBE.

Summary:
**Total energy**: -2.977 eV/atom

```
NaSrIn4Au2
1.0
7.947 0.000 0.000
0.000 2.327 5.466
0.000 -2.327 5.466
Na Sr In Au
1 1 4 2
direct
0.000 0.000 0.000 Na
0.500 0.860 0.860 Sr
0.192 0.289 0.289 In
0.295 0.568 0.568 In
0.705 0.568 0.568 In
0.808 0.289 0.289 In
0.000 0.717 0.717 Au
0.500 0.148 0.148 Au
```



Entry 5:
This record from the Open Quantum Materials Database describes MoC after structural relaxation. The functional is PBE.

Summary:
**Energy above the most stable polymorph in this dataset**: 1.137 eV/atom

```
MoC
1.0
3.984 0.000 0.000
-1.992 3.450 0.000
0.000 0.000 3.019
Mo C
2 2
direct
0.333 0.667 0.250 Mo
0.667 0.333 0.750 Mo
0.000 0.000 0.000 C
0.000 0.000 0.500 C
```



Entry 6:
This record from the Open Quantum Materials Database describes YLuFe2Ge2C after structural relaxation. The functional is PBE.

Summary:
**Total energy**: -7.184 eV/atom

```
YLuFe2Ge2C
1.0
5.307 -1.972 0.000
5.307 1.972 0.000
-4.200 0.000 5.291
Y Lu Fe Ge C
1 1 2 2 1
direct
0.000 0.000 0.000 Y
0.114 0.114 0.576 Lu
0.363 0.363 0.201 Fe
0.756 0.756 0.382 Fe
0.396 0.396 0.583 Ge
0.720 0.720 0.996 Ge
0.561 0.561 0.297 C
```



Entry 7:
This record from the Open Quantum Materials Database describes Zr4TlGaN2 after structural relaxation. The functional is PBE.

Summary:
**Total energy**: -8.085 eV/atom

```
Zr4TlGaN2
1.0
3.300 0.000 0.000
-1.650 2.858 0.000
0.000 0.000 14.458
Zr Tl Ga N
4 1 1 2
direct
0.000 0.000 0.154 Zr
0.000 0.000 0.846 Zr
0.333 0.667 0.328 Zr
0.333 0.667 0.672 Zr
0.000 0.000 0.500 Tl
0.333 0.667 0.000 Ga
0.667 0.333 0.242 N
0.667 0.333 0.758 N
```



Entry 8:
This record from the Open Quantum Materials Database describes TmScTeC after structural relaxation. The functional is PBE.

Summary:
**Energy above the most stable polymorph in this dataset**: 0.000 eV/atom

```
TmScTeC
1.0
3.675 0.000 0.000
-1.837 3.182 0.000
0.000 0.000 13.525
Tm Sc Te C
2 2 2 2
direct
0.333 0.667 0.000 Tm
0.667 0.333 0.500 Tm
0.333 0.667 0.682 Sc
0.667 0.333 0.182 Sc
0.333 0.667 0.334 Te
0.667 0.333 0.834 Te
0.000 0.000 0.094 C
0.000 0.000 0.594 C
```



Entry 9:
This record from the Open Quantum Materials Database describes YHf after structural relaxation. The functional is PBE.

Summary:
**Energy of formation**: 1.172 eV/atom

```
YHf
1.0
0.000 3.061 3.061
3.061 0.000 3.061
3.061 3.061 0.000
Y Hf
1 1
direct
0.000 0.000 0.000 Y
0.500 0.500 0.500 Hf
```



Entry 10:
This record from the Open Quantum Materials Database describes Ta4GeBiN2 after structural relaxation. The functional is PBE.

Summary:
**Total energy**: -9.408 eV/atom

```
Ta4GeBiN2
1.0
3.313 0.000 0.000
-1.656 2.869 0.000
0.000 0.000 12.907
Ta Ge Bi N
4 1 1 2
direct
0.000 0.000 0.146 Ta
0.000 0.000 0.854 Ta
0.667 0.333 0.314 Ta
0.667 0.333 0.686 Ta
0.667 0.333 0.000 Ge
0.000 0.000 0.500 Bi
0.333 0.667 0.234 N
0.333 0.667 0.766 N
```



Entry 11:
This record from the Open Quantum Materials Database describes Tm2Si3Ir after structural relaxation. The functional is PBE.

Summary:
**Total energy**: -6.578 eV/atom

```
Tm2Si3Ir
1.0
0.000 4.060 7.028
3.962 0.000 7.028
3.962 4.060 0.000
Tm Si Ir
4 6 2
direct
0.246 0.754 0.754 Tm
0.250 0.250 0.250 Tm
0.750 0.750 0.750 Tm
0.754 0.246 0.246 Tm
0.168 0.665 0.335 Si
0.333 0.333 0.667 Si
0.335 0.832 0.168 Si
0.665 0.168 0.832 Si
0.667 0.667 0.333 Si
0.832 0.335 0.665 Si
0.166 0.166 0.834 Ir
0.834 0.834 0.166 Ir
```



Entry 12:
This record from the Open Quantum Materials Database describes NaNdHgSe3 after structural relaxation. The functional is PBE.

Summary:
**Energy above the most stable polymorph in this dataset**: 0.000 eV/atom

```
NaNdHgSe3
1.0
11.335 0.000 0.000
0.000 4.256 0.000
0.000 0.000 13.885
Na Nd Hg Se
4 4 4 12
direct
0.218 0.250 0.007 Na
0.282 0.750 0.507 Na
0.718 0.250 0.493 Na
0.782 0.750 0.993 Na
0.012 0.750 0.742 Nd
0.488 0.250 0.242 Nd
0.512 0.750 0.758 Nd
0.988 0.250 0.258 Nd
0.239 0.750 0.217 Hg
0.261 0.250 0.717 Hg
0.739 0.750 0.283 Hg
0.761 0.250 0.783 Hg
0.043 0.750 0.113 Se
0.077 0.250 0.602 Se
0.239 0.250 0.341 Se
0.261 0.750 0.841 Se
0.423 0.750 0.102 Se
0.457 0.250 0.613 Se
0.543 0.750 0.387 Se
0.577 0.250 0.898 Se
0.739 0.250 0.159 Se
0.761 0.750 0.659 Se
0.923 0.750 0.398 Se
0.957 0.250 0.887 Se
```